1.
! Au3F8 | the Alexandria database | GGA-PBE | optimized geometry; values from VASP
&SYSTEM
  ibrav = 0, nat = 22, ntyp = 2
/
ATOMIC_SPECIES
Au 196.97 Au.upf
F 19.00 F.upf
ATOMIC_POSITIONS angstrom
Au 0.000 0.000 0.000
Au -2.718 5.430 2.945
Au -1.702 1.922 2.719
Au -4.420 3.508 5.664
Au 4.654 7.353 0.226
Au 1.936 8.938 3.170
F -3.395 7.174 4.068
F -0.677 9.117 1.123
F -1.068 6.442 2.022
F -3.786 9.849 4.966
F -1.342 0.225 3.601
F 1.376 5.206 0.657
F 0.888 2.561 1.470
F -1.830 2.869 4.414
F 2.064 7.991 1.475
F -0.654 8.300 4.420
F -1.142 5.655 5.233
F 1.576 10.636 2.288
F 4.020 1.011 0.923
F 1.302 4.419 3.868
F 0.911 1.743 4.767
F 3.629 3.687 1.822
CELL_PARAMETERS angstrom
5.670 0.000 0.000
0.000 10.861 0.000
-5.436 0.000 5.889
! * SG: P2_1/c (14)

***

2.
! PrSm4Y3 | the Alexandria database | GGA-PBE | optimized geometry; values from VASP
&SYSTEM
  ibrav = 0, nat = 16, ntyp = 3
/
ATOMIC_SPECIES
Pr 140.91 Pr.upf
Sm 150.36 Sm.upf
Y 88.91 Y.upf
ATOMIC_POSITIONS angstrom
Pr 0.000 0.935 0.000
Pr 5.790 6.433 3.181
Sm 0.000 2.762 3.226
Sm 0.000 4.611 0.014
Sm 2.867 4.599 2.133
Sm 2.923 2.769 5.314
Sm 5.790 2.756 3.196
Sm 5.790 4.606 0.045
Sm 8.656 2.769 5.314
Sm 8.713 4.599 2.133
Y 0.000 6.451 3.187
Y 2.894 0.916 2.139
Y 2.896 6.451 5.320
Y 5.790 0.917 0.006
Y 8.686 0.916 2.139
Y 8.684 6.451 5.320
CELL_PARAMETERS angstrom
11.580 0.000 0.000
0.000 7.368 0.000
0.000 0.000 6.363
! * SG: Pmn2_1 (31)
! * N(E_F): 28.5 states/eV per cell
! * polymorph energy (0 for the lowest one): 0 meV per atom

***

3.
! CaVRhI2 | the Alexandria database | GGA-PBE | optimized geometry; values from VASP
&SYSTEM
  ibrav = 0, nat = 5, ntyp = 4
/
ATOMIC_SPECIES
Ca 40.08 Ca.upf
V 50.94 V.upf
Rh 102.91 Rh.upf
I 126.90 I.upf
ATOMIC_POSITIONS angstrom
Ca 0.000 0.000 0.000
V 2.917 2.917 2.464
Rh 0.000 0.000 2.464
I 0.000 2.917 0.000
I 2.917 0.000 0.000
CELL_PARAMETERS angstrom
5.833 0.000 0.000
0.000 5.833 0.000
0.000 0.000 4.927
! * SG: P4/mmm (123)
! * N(E_F): 13.5 states/eV per cell

***

4.
! KRh3O | the Alexandria database | GGA-PBE | optimized geometry; values from VASP
&SYSTEM
  ibrav = 0, nat = 5, ntyp = 3
/
ATOMIC_SPECIES
K 39.10 K.upf
Rh 102.91 Rh.upf
O 16.00 O.upf
ATOMIC_POSITIONS angstrom
K 0.000 0.000 0.000
Rh 0.000 2.148 2.148
Rh 2.148 0.000 2.148
Rh 2.148 2.148 0.000
O 2.148 2.148 2.148
CELL_PARAMETERS angstrom
4.296 0.000 0.000
0.000 4.296 0.000
0.000 0.000 4.296
! * SG: Pm-3m (221)
! * N(E_F): 5.8 states/eV per cell
! * polymorph energy (0 for the lowest one): 0 meV per atom

***

5.
! Er3SnRh2 | the Alexandria database | GGA-PBE | optimized geometry; values from VASP
&SYSTEM
  ibrav = 0, nat = 12, ntyp = 3
/
ATOMIC_SPECIES
Er 167.26 Er.upf
Sn 118.71 Sn.upf
Rh 102.91 Rh.upf
ATOMIC_POSITIONS angstrom
Er 0.000 0.000 0.000
Er 0.000 4.672 0.000
Er 0.000 9.962 0.000
Er 2.533 2.645 0.000
Er 2.533 7.317 0.000
Er 2.533 11.988 0.000
Sn 0.000 7.317 1.755
Sn 2.533 0.000 1.755
Rh 0.000 2.338 1.755
Rh 0.000 12.296 1.755
Rh 2.533 4.979 1.755
Rh 2.533 9.654 1.755
CELL_PARAMETERS angstrom
5.067 0.000 0.000
0.000 14.633 0.000
0.000 0.000 3.511
! * SG: Cmmm (65)
! * N(E_F): 6.1 states/eV per cell
! * polymorph energy (0 for the lowest one): 57 meV per atom

***

6.
! Ga2TePd2 | the Alexandria database | GGA-PBE | optimized geometry; values from VASP
&SYSTEM
  ibrav = 0, nat = 10, ntyp = 3
/
ATOMIC_SPECIES
Ga 69.72 Ga.upf
Te 127.60 Te.upf
Pd 106.42 Pd.upf
ATOMIC_POSITIONS angstrom
Ga 1.133 2.706 0.000
Ga 2.706 6.545 0.000
Ga 4.972 1.133 0.000
Ga 6.545 4.972 0.000
Te 0.000 0.000 1.520
Te 3.839 3.839 1.520
Pd 1.120 4.959 1.520
Pd 2.719 1.120 1.520
Pd 4.959 6.558 1.520
Pd 6.558 2.719 1.520
CELL_PARAMETERS angstrom
7.678 0.000 0.000
0.000 7.678 0.000
0.000 0.000 3.041
! * SG: P4/mbm (127)
! * N(E_F): 4.9 states/eV per cell
! * polymorph energy (0 for the lowest one): 19 meV per atom

***

7.
! TmHfGaAg | the Alexandria database | GGA-PBE | optimized geometry; values from VASP
&SYSTEM
  ibrav = 0, nat = 16, ntyp = 4
/
ATOMIC_SPECIES
Tm 168.93 Tm.upf
Hf 178.49 Hf.upf
Ga 69.72 Ga.upf
Ag 107.87 Ag.upf
ATOMIC_POSITIONS angstrom
Tm 0.000 0.000 0.000
Tm 0.000 3.464 3.464
Tm 3.464 0.000 3.464
Tm 3.464 3.464 0.000
Hf 0.000 0.000 3.464
Hf 0.000 3.464 0.000
Hf 3.464 0.000 0.000
Hf 3.464 3.464 3.464
Ga 1.732 1.732 1.732
Ga 1.732 5.196 5.196
Ga 5.196 1.732 5.196
Ga 5.196 5.196 1.732
Ag 1.732 1.732 5.196
Ag 1.732 5.196 1.732
Ag 5.196 1.732 1.732
Ag 5.196 5.196 5.196
CELL_PARAMETERS angstrom
6.928 0.000 0.000
0.000 6.928 0.000
0.000 0.000 6.928
! * SG: F-43m (216)
! * N(E_F): 10.1 states/eV per cell

***

8.
! CaSmHo2 | the Alexandria database | GGA-PBE | optimized geometry; values from VASP
&SYSTEM
  ibrav = 0, nat = 4, ntyp = 3
/
ATOMIC_SPECIES
Ca 40.08 Ca.upf
Sm 150.36 Sm.upf
Ho 164.93 Ho.upf
ATOMIC_POSITIONS angstrom
Ca 0.000 0.000 0.000
Sm 0.000 0.000 5.174
Ho 1.816 1.816 2.772
Ho 1.816 1.816 7.575
CELL_PARAMETERS angstrom
3.632 0.000 0.000
0.000 3.632 0.000
0.000 0.000 10.347
! * SG: P4/mmm (123)
! * N(E_F): 6.0 states/eV per cell
! * polymorph energy (0 for the lowest one): 14 meV per atom

***

9.
! YAgSb2 | the Alexandria database | GGA-PBE | optimized geometry; values from VASP
&SYSTEM
  ibrav = 0, nat = 16, ntyp = 3
/
ATOMIC_SPECIES
Y 88.91 Y.upf
Ag 107.87 Ag.upf
Sb 121.76 Sb.upf
ATOMIC_POSITIONS angstrom
Y 0.000 0.000 0.000
Y 0.000 3.705 3.705
Y 3.705 0.000 3.705
Y 3.705 3.705 0.000
Ag 0.000 0.000 3.705
Ag 0.000 3.705 0.000
Ag 3.705 0.000 0.000
Ag 3.705 3.705 3.705
Sb 1.852 1.852 1.852
Sb 1.852 1.852 5.557
Sb 1.852 5.557 1.852
Sb 1.852 5.557 5.557
Sb 5.557 1.852 1.852
Sb 5.557 1.852 5.557
Sb 5.557 5.557 1.852
Sb 5.557 5.557 5.557
CELL_PARAMETERS angstrom
7.409 0.000 0.000
0.000 7.409 0.000
0.000 0.000 7.409
! * SG: Fm-3m (225)
! * N(E_F): 18.2 states/eV per cell

***

10.
! AsRhCl2 | the Alexandria database | GGA-PBE | optimized geometry; values from VASP
&SYSTEM
  ibrav = 0, nat = 8, ntyp = 3
/
ATOMIC_SPECIES
As 74.92 As.upf
Rh 102.91 Rh.upf
Cl 35.45 Cl.upf
ATOMIC_POSITIONS angstrom
As 0.000 0.000 0.000
As 1.551 2.841 0.000
Rh 0.000 0.000 4.439
Rh 1.551 2.841 4.439
Cl 0.000 2.841 2.647
Cl 0.000 2.841 6.232
Cl 1.551 0.000 2.647
Cl 1.551 0.000 6.232
CELL_PARAMETERS angstrom
3.102 0.000 0.000
0.000 5.682 0.000
0.000 0.000 8.879
! * SG: Cmmm (65)
! * N(E_F): 7.0 states/eV per cell
! * polymorph energy (0 for the lowest one): 835 meV per atom

***

11.
! K3Ce3GeS8 | the Alexandria database | GGA-PBE | optimized geometry; values from VASP
&SYSTEM
  ibrav = 0, nat = 15, ntyp = 4
/
ATOMIC_SPECIES
K 39.10 K.upf
Ce 140.12 Ce.upf
Ge 72.64 Ge.upf
S 32.06 S.upf
ATOMIC_POSITIONS angstrom
K -2.055 -1.187 7.361
K -2.055 1.187 14.722
K 0.000 2.373 7.361
Ce -4.111 0.000 11.041
Ce -2.055 1.187 3.680
Ce 2.055 1.187 3.680
Ge 0.000 0.000 11.041
S -2.046 -1.182 12.442
S 0.000 0.000 5.198
S 0.000 -2.363 9.640
S -2.046 1.182 9.640
S 2.046 -1.182 12.442
S 0.000 2.363 12.442
S 0.000 0.000 16.885
S 2.046 1.182 9.640
CELL_PARAMETERS angstrom
4.111 2.373 7.361
-4.111 2.373 7.361
0.000 -4.746 7.361
! * SG: R-3m (166)
! * N(E_F): 15.0 states/eV per cell

***

12.
! KIr2Pt | the Alexandria database | GGA-PBE | optimized geometry; values from VASP
&SYSTEM
  ibrav = 0, nat = 12, ntyp = 3
/
ATOMIC_SPECIES
K 39.10 K.upf
Ir 192.22 Ir.upf
Pt 195.08 Pt.upf
ATOMIC_POSITIONS angstrom
K 0.000 0.000 0.000
K 0.000 1.608 20.552
K 1.393 0.804 10.276
Ir 0.000 0.000 7.411
Ir 0.000 0.000 23.418
Ir 0.000 1.608 13.141
Ir 0.000 1.608 27.963
Ir 1.393 0.804 2.865
Ir 1.393 0.804 17.687
Pt 0.000 0.000 15.414
Pt 0.000 1.608 5.138
Pt 1.393 0.804 25.691
CELL_PARAMETERS angstrom
2.786 0.000 0.000
-1.393 2.413 0.000
0.000 0.000 30.829
! * SG: R-3m (166)
! * N(E_F): 21.4 states/eV per cell
! * polymorph energy (0 for the lowest one): 254 meV per atom

***

Number 1: total DFT energy (no corrections) -3.23 eV/atom. Number 2: total DFT energy (no corrections) -5.36 eV/atom. Number 3: total DFT energy (no corrections) -3.28 eV/atom. Number 4: total DFT energy (no corrections) -5.14 eV/atom. Number 5: total DFT energy (no corrections) -6.18 eV/atom. Number 6: total DFT energy (no corrections) -4.26 eV/atom. Number 7: total DFT energy (no corrections) -5.33 eV/atom. Number 8: total DFT energy (no corrections) -3.89 eV/atom. Number 9: total DFT energy (no corrections) -4.67 eV/atom. Number 10: total DFT energy (no corrections) -3.69 eV/atom. Number 11: total DFT energy (no corrections) -5.43 eV/atom. Number 12: total DFT energy (no corrections) -5.64 eV/atom.